Entry from Alexandria via LeMat-Bulk: crystalline PmNdCuNi at its relaxed geometry (PBE).

Results
Crystal system: orthorhombic
N(E_F) (states/eV/cell): 7.4
Energy relative to the lowest polymorph listed for this composition (meV/atom): 0
Final energy (eV/atom): -5.106

a b c (Å): 4.462 3.835 10.622
angles (deg): 90.00 90.00 90.00
Fractional coordinates of all 8 atoms:
Pm 0.000 0.000 0.000
Pm 0.000 0.500 0.500
Nd 0.500 0.000 0.277
Nd 0.500 0.500 0.777
Cu 0.000 0.000 0.707
Cu 0.000 0.500 0.207
Ni 0.500 0.000 0.572
Ni 0.500 0.500 0.072

***

Entry from Alexandria via LeMat-Bulk: crystalline Mo2C at its relaxed geometry (PBE).

Results
Crystal system: tetragonal
N(E_F) (states/eV/cell): 4.2
Final energy (eV/atom): -9.861

a b c (Å): 2.759 2.759 9.628
angles (deg): 90.00 90.00 90.00
Fractional coordinates of all 6 atoms:
Mo 0.000 0.000 0.132
Mo 0.000 0.000 0.868
Mo 0.500 0.500 0.368
Mo 0.500 0.500 0.632
C 0.000 0.000 0.500
C 0.500 0.500 0.000

***

Entry from Alexandria via LeMat-Bulk: crystalline TiAgAu at its relaxed geometry (PBE).

Results
Crystal system: tetragonal
N(E_F) (states/eV/cell): 2.9
Energy relative to the lowest polymorph listed for this composition (meV/atom): 0
Final energy (eV/atom): -4.906

a b c (Å): 3.307 3.307 9.565
angles (deg): 90.00 90.00 90.00
Fractional coordinates of all 6 atoms:
Ti 0.250 0.250 0.084
Ti 0.750 0.750 0.916
Ag 0.250 0.250 0.415
Ag 0.750 0.750 0.585
Au 0.250 0.250 0.764
Au 0.750 0.750 0.236